# 1
# CoSbWAu PBE relaxed
# E above lowest polymorph, meV/atom: 251
# Space-group type: F-43m (216)
data_CoSbWAu
_cell_length_a 4.576
_cell_length_b 4.576
_cell_length_c 4.576
_cell_angle_alpha 60.00
_cell_angle_beta 60.00
_cell_angle_gamma 60.00
_symmetry_space_group_name_H-M 'P 1'
_symmetry_Int_Tables_number 1
loop_
_symmetry_equiv_pos_as_xyz
'x,y,z'
loop_
_atom_site_label
_atom_site_fract_x
_atom_site_fract_y
_atom_site_fract_z
Co1 0.000 0.000 0.000
Sb1 0.750 0.750 0.750
W1 0.250 0.250 0.250
Au1 0.500 0.500 0.500

***

# 2
# CoSbWAu PBE relaxed
# E above lowest polymorph, meV/atom: 0
# Space-group type: F-43m (216)
data_CoSbWAu
_cell_length_a 4.539
_cell_length_b 4.539
_cell_length_c 4.539
_cell_angle_alpha 60.00
_cell_angle_beta 60.00
_cell_angle_gamma 60.00
_symmetry_space_group_name_H-M 'P 1'
_symmetry_Int_Tables_number 1
loop_
_symmetry_equiv_pos_as_xyz
'x,y,z'
loop_
_atom_site_label
_atom_site_fract_x
_atom_site_fract_y
_atom_site_fract_z
Co1 0.000 0.000 0.000
Sb1 0.750 0.750 0.750
W1 0.500 0.500 0.500
Au1 0.250 0.250 0.250

***

# 3
# ZnCoSbAu PBE relaxed
# E above lowest polymorph, meV/atom: 0
# Space-group type: F-43m (216)
data_ZnCoSbAu
_cell_length_a 4.563
_cell_length_b 4.563
_cell_length_c 4.563
_cell_angle_alpha 60.00
_cell_angle_beta 60.00
_cell_angle_gamma 60.00
_symmetry_space_group_name_H-M 'P 1'
_symmetry_Int_Tables_number 1
loop_
_symmetry_equiv_pos_as_xyz
'x,y,z'
loop_
_atom_site_label
_atom_site_fract_x
_atom_site_fract_y
_atom_site_fract_z
Zn1 0.000 0.000 0.000
Co1 0.750 0.750 0.750
Sb1 0.500 0.500 0.500
Au1 0.250 0.250 0.250

***

# 4
# ZrCoSbAu PBE relaxed
# E above lowest polymorph, meV/atom: 23
# Space-group type: F-43m (216)
data_ZrCoSbAu
_cell_length_a 4.702
_cell_length_b 4.702
_cell_length_c 4.702
_cell_angle_alpha 60.00
_cell_angle_beta 60.00
_cell_angle_gamma 60.00
_symmetry_space_group_name_H-M 'P 1'
_symmetry_Int_Tables_number 1
loop_
_symmetry_equiv_pos_as_xyz
'x,y,z'
loop_
_atom_site_label
_atom_site_fract_x
_atom_site_fract_y
_atom_site_fract_z
Zr1 0.000 0.000 0.000
Co1 0.750 0.750 0.750
Sb1 0.500 0.500 0.500
Au1 0.250 0.250 0.250

***

# 5
# ZrCoSbAu PBE relaxed
# E above lowest polymorph, meV/atom: 0
# Space-group type: F-43m (216)
data_ZrCoSbAu
_cell_length_a 4.690
_cell_length_b 4.690
_cell_length_c 4.690
_cell_angle_alpha 60.00
_cell_angle_beta 60.00
_cell_angle_gamma 60.00
_symmetry_space_group_name_H-M 'P 1'
_symmetry_Int_Tables_number 1
loop_
_symmetry_equiv_pos_as_xyz
'x,y,z'
loop_
_atom_site_label
_atom_site_fract_x
_atom_site_fract_y
_atom_site_fract_z
Zr1 0.000 0.000 0.000
Co1 0.500 0.500 0.500
Sb1 0.250 0.250 0.250
Au1 0.750 0.750 0.750

***

# 6
# Sc2CoAu2 PBE relaxed
# DFT formation energy, meV per atom: -59.9
# Space-group type: I4/mmm (139)
data_Sc2CoAu2
_cell_length_a 7.868
_cell_length_b 7.868
_cell_length_c 7.868
_cell_angle_alpha 152.82
_cell_angle_beta 152.82
_cell_angle_gamma 38.81
_symmetry_space_group_name_H-M 'P 1'
_symmetry_Int_Tables_number 1
loop_
_symmetry_equiv_pos_as_xyz
'x,y,z'
loop_
_atom_site_label
_atom_site_fract_x
_atom_site_fract_y
_atom_site_fract_z
Sc1 0.097 0.097 0.000
Sc2 0.903 0.903 0.000
Co1 0.500 0.500 0.000
Au1 0.250 0.750 0.500
Au2 0.750 0.250 0.500

***

# 7
# ScCo2Au PBE relaxed
# DFT formation energy, meV per atom: -88.6
# Space-group type: F-43m (216)
data_ScCo2Au
_cell_length_a 4.419
_cell_length_b 4.419
_cell_length_c 4.419
_cell_angle_alpha 60.00
_cell_angle_beta 60.00
_cell_angle_gamma 60.00
_symmetry_space_group_name_H-M 'P 1'
_symmetry_Int_Tables_number 1
loop_
_symmetry_equiv_pos_as_xyz
'x,y,z'
loop_
_atom_site_label
_atom_site_fract_x
_atom_site_fract_y
_atom_site_fract_z
Sc1 0.000 0.000 0.000
Co1 0.500 0.500 0.500
Co2 0.750 0.750 0.750
Au1 0.250 0.250 0.250

***

# 8
# ScCoAu2 PBE relaxed
# DFT formation energy, meV per atom: -277.5
# Space-group type: F-43m (216)
data_ScCoAu2
_cell_length_a 4.571
_cell_length_b 4.571
_cell_length_c 4.571
_cell_angle_alpha 60.00
_cell_angle_beta 60.00
_cell_angle_gamma 60.00
_symmetry_space_group_name_H-M 'P 1'
_symmetry_Int_Tables_number 1
loop_
_symmetry_equiv_pos_as_xyz
'x,y,z'
loop_
_atom_site_label
_atom_site_fract_x
_atom_site_fract_y
_atom_site_fract_z
Sc1 0.000 0.000 0.000
Co1 0.250 0.250 0.250
Au1 0.500 0.500 0.500
Au2 0.750 0.750 0.750

***

# 9
# ScCoSiAu PBE relaxed
# E above lowest polymorph, meV/atom: 0
# Space-group type: F-43m (216)
data_ScCoSiAu
_cell_length_a 4.421
_cell_length_b 4.421
_cell_length_c 4.421
_cell_angle_alpha 60.00
_cell_angle_beta 60.00
_cell_angle_gamma 60.00
_symmetry_space_group_name_H-M 'P 1'
_symmetry_Int_Tables_number 1
loop_
_symmetry_equiv_pos_as_xyz
'x,y,z'
loop_
_atom_site_label
_atom_site_fract_x
_atom_site_fract_y
_atom_site_fract_z
Sc1 0.000 0.000 0.000
Co1 0.750 0.750 0.750
Si1 0.500 0.500 0.500
Au1 0.250 0.250 0.250

***

# 10
# ScCoSiAu PBE relaxed
# E above lowest polymorph, meV/atom: 35
# Space-group type: F-43m (216)
data_ScCoSiAu
_cell_length_a 4.437
_cell_length_b 4.437
_cell_length_c 4.437
_cell_angle_alpha 60.00
_cell_angle_beta 60.00
_cell_angle_gamma 60.00
_symmetry_space_group_name_H-M 'P 1'
_symmetry_Int_Tables_number 1
loop_
_symmetry_equiv_pos_as_xyz
'x,y,z'
loop_
_atom_site_label
_atom_site_fract_x
_atom_site_fract_y
_atom_site_fract_z
Sc1 0.000 0.000 0.000
Co1 0.500 0.500 0.500
Si1 0.250 0.250 0.250
Au1 0.750 0.750 0.750

***

# 11
# ScCoSnAu PBE relaxed
# E above lowest polymorph, meV/atom: 77
# Space-group type: F-43m (216)
data_ScCoSnAu
_cell_length_a 4.625
_cell_length_b 4.625
_cell_length_c 4.625
_cell_angle_alpha 60.00
_cell_angle_beta 60.00
_cell_angle_gamma 60.00
_symmetry_space_group_name_H-M 'P 1'
_symmetry_Int_Tables_number 1
loop_
_symmetry_equiv_pos_as_xyz
'x,y,z'
loop_
_atom_site_label
_atom_site_fract_x
_atom_site_fract_y
_atom_site_fract_z
Sc1 0.000 0.000 0.000
Co1 0.500 0.500 0.500
Sn1 0.250 0.250 0.250
Au1 0.750 0.750 0.750

***

# 12
# ScCoSnAu PBE relaxed
# E above lowest polymorph, meV/atom: 0
# Space-group type: F-43m (216)
data_ScCoSnAu
_cell_length_a 4.641
_cell_length_b 4.641
_cell_length_c 4.641
_cell_angle_alpha 60.00
_cell_angle_beta 60.00
_cell_angle_gamma 60.00
_symmetry_space_group_name_H-M 'P 1'
_symmetry_Int_Tables_number 1
loop_
_symmetry_equiv_pos_as_xyz
'x,y,z'
loop_
_atom_site_label
_atom_site_fract_x
_atom_site_fract_y
_atom_site_fract_z
Sc1 0.000 0.000 0.000
Co1 0.750 0.750 0.750
Sn1 0.500 0.500 0.500
Au1 0.250 0.250 0.250

***

# 13
# ScTaCoAu PBE relaxed
# DFT formation energy, meV per atom: -120.5
# E above lowest polymorph, meV/atom: 0
# Space-group type: F-43m (216)
data_ScTaCoAu
_cell_length_a 4.580
_cell_length_b 4.580
_cell_length_c 4.580
_cell_angle_alpha 60.00
_cell_angle_beta 60.00
_cell_angle_gamma 60.00
_symmetry_space_group_name_H-M 'P 1'
_symmetry_Int_Tables_number 1
loop_
_symmetry_equiv_pos_as_xyz
'x,y,z'
loop_
_atom_site_label
_atom_site_fract_x
_atom_site_fract_y
_atom_site_fract_z
Sc1 0.000 0.000 0.000
Ta1 0.500 0.500 0.500
Co1 0.750 0.750 0.750
Au1 0.250 0.250 0.250

***

# 14
# ScTaCoAu PBE relaxed
# DFT formation energy, meV per atom: -62.7
# E above lowest polymorph, meV/atom: 58
# Space-group type: F-43m (216)
data_ScTaCoAu
_cell_length_a 4.474
_cell_length_b 4.474
_cell_length_c 4.474
_cell_angle_alpha 60.00
_cell_angle_beta 60.00
_cell_angle_gamma 60.00
_symmetry_space_group_name_H-M 'P 1'
_symmetry_Int_Tables_number 1
loop_
_symmetry_equiv_pos_as_xyz
'x,y,z'
loop_
_atom_site_label
_atom_site_fract_x
_atom_site_fract_y
_atom_site_fract_z
Sc1 0.000 0.000 0.000
Ta1 0.750 0.750 0.750
Co1 0.500 0.500 0.500
Au1 0.250 0.250 0.250